Material: CdTcRh2
Method: DFT, PBE-GGA
State: relaxed

Calculated values
The total DFT energy (no corrections) comes out at -25.22 eV per formula unit. The symmetry is No. 119.

a b c (Å): 4.9694 4.9694 4.9694
angles (deg): 134.30 134.30 66.61
Last column: nearest neighbours and their distance in Å.
Atoms (fractional coordinates):
Cd (0.0000, 0.0000, 0.0000)  8 Rh 2.73-2.83, 4 Tc 2.83
Tc (0.7500, 0.2500, 0.5000)  8 Rh 2.73-2.83, 4 Cd 2.83
Rh (0.2500, 0.7500, 0.5000)  4 Tc 2.73, 4 Cd 2.83, 4 Rh 2.83
Rh (0.5000, 0.5000, 0.0000)  4 Cd 2.73, 4 Tc 2.83, 4 Rh 2.83